(1)
First-principles (SCAN) data for a PBEsol-optimized structure of TlCoTc2, as listed in Alexandria via LeMat-Bulk.

Calculated values
DOS at the Fermi energy   0.95 states/eV/atom
Offset from the most stable computed form   213 meV per atom
Energy of formation from the pure elements   0.55 eV per atom
Total moment   1.9 μB per formula unit

Unit cell a=8.786 b=2.921 c=4.813 alpha=90.00 beta=102.85 gamma=90.00
Space group Cm (No. 8)
One atom of each set of equivalent atoms:
Tl (0.000, 0.000, 0.000) x2
Co (0.257, 0.500, 0.246) x2
Tc (0.233, 0.000, 0.658) x2
Tc (0.494, 0.000, 0.499) x2

***

(2)
First-principles (SCAN) data for a PBEsol-optimized structure of K2ZrSe, as listed in Alexandria via LeMat-Bulk.

Calculated values
DOS at the Fermi energy   0.60 states/eV/atom
Energy relative to the elements, uncorrected   0.11 eV per atom
Total moment   1.1 μB per formula unit

Unit cell a=3.158 b=3.158 c=11.501 alpha=90.00 beta=90.00 gamma=90.00
Space group P4/mmm (No. 123)
One atom of each set of equivalent atoms:
K (0.000, 0.000, 0.199) x2
Zr (0.500, 0.500, 0.500) x1
Se (0.500, 0.500, 0.000) x1

***

(3)
First-principles (SCAN) data for a PBEsol-optimized structure of Ta5Mo11, as listed in Alexandria via LeMat-Bulk.

Calculated values
DOS at the Fermi energy   0.43 states/eV/atom
Energy of formation from the pure elements   -0.13 eV per atom
Total moment   0.0 μB per formula unit

Unit cell a=6.340 b=6.336 c=6.343 alpha=90.00 beta=90.19 gamma=90.00
Space group Pm (No. 6)
One atom of each set of equivalent atoms:
Ta (0.000, 0.000, 0.000) x1
Ta (0.001, 0.000, 0.492) x1
Ta (0.490, 0.500, 0.002) x1
Ta (0.744, 0.252, 0.745) x2
Mo (0.247, 0.251, 0.249) x2
Mo (0.247, 0.251, 0.746) x2
Mo (0.492, 0.500, 0.495) x1
Mo (0.494, 0.000, 0.494) x1
Mo (0.494, 0.000, 0.999) x1
Mo (0.745, 0.251, 0.248) x2
Mo (0.997, 0.500, 0.999) x1
Mo (0.998, 0.500, 0.494) x1

***

(4)
First-principles (SCAN) data for a PBEsol-optimized structure of CoCuNi2, as listed in Alexandria via LeMat-Bulk.

Calculated values
DOS at the Fermi energy   0.87 states/eV/atom
Energy of formation from the pure elements   0.07 eV per atom
Total moment   3.1 μB per formula unit

Unit cell a=8.145 b=2.453 c=4.293 alpha=90.00 beta=99.67 gamma=90.00
Space group C2/m (No. 12)
One atom of each set of equivalent atoms:
Co (0.000, 0.000, 0.000) x2
Cu (0.000, 0.500, 0.500) x2
Ni (0.248, 0.500, 0.245) x4

***

(5)
First-principles (SCAN) data for a PBEsol-optimized structure of LaAuS2, as listed in Alexandria via LeMat-Bulk.

Calculated values
DOS at the Fermi energy   0.00 states/eV/atom
Energy relative to the elements, uncorrected   -1.52 eV per atom
Total moment   0.0 μB per formula unit

Unit cell a=4.4168 b=4.4168 c=21.4171 alpha=90.00 beta=90.00 gamma=120.00
Space group R-3m (No. 166, hexagonal axes)
One atom of each set of equivalent atoms:
La (0.0000, 0.0000, 0.0000) x3
Au (0.0000, 0.0000, 0.5000) x3
S (0.0000, 0.0000, 0.3945) x6

***

(6)
First-principles (SCAN) data for a PBEsol-optimized structure of In2PtPb, as listed in Alexandria via LeMat-Bulk.

Calculated values
DOS at the Fermi energy   0.49 states/eV/atom
Energy of formation from the pure elements   -0.16 eV per atom
Total moment   0.0 μB per formula unit

Unit cell a=8.154 b=3.672 c=6.553 alpha=90.00 beta=104.03 gamma=90.00
Space group C2/m (No. 12)
One atom of each set of equivalent atoms:
In (0.232, 0.000, 0.189) x4
Pt (0.000, 0.500, 0.000) x2
Pb (0.000, 0.000, 0.500) x2